Computed, not measured: a relaxed KBe4Te crystal at the PBE level of DFT.

Cell: 7.3299 7.3299 7.3299 Å, 90.00 90.00 90.00°
Last column: nearest neighbours and their distance in Å.
Space group F-43m (No. 216)
Symmetry-distinct sites (fractional):
K 0.0000 0.0000 0.0000 (multiplicity 4)  12 Be 3.02, 4 Te 3.17
Be 0.1354 0.1354 0.3646 (multiplicity 16)  3 Be 2.38
Te 0.2500 0.2500 0.7500 (multiplicity 4)  12 Be 3.06, 4 K 3.17

energy	-14.1	eV per formula unit
uncorrected formation energy	486	kJ/mol of formula units